No. 1
Material: DyTc4P2
Method: DFT, PBE
State: optimized geometry

a b c (Å): 7.0585 7.0585 4.0067
angles (deg): 90.00 90.00 146.67
Fractional coordinates of all 7 atoms:
Dy: 0.0000 0.0000 0.0000
P: 0.5862 0.4138 0.5000
P: 0.4138 0.5862 0.5000
Tc: 0.6908 0.3092 0.0000
Tc: 0.3092 0.6908 0.0000
Tc: 0.8174 0.1826 0.5000
Tc: 0.1826 0.8174 0.5000

Calculated values
The value obtained for the calculated volume is 15.67 Å³/atom. The total energy comes out at -8.838 eV per atom.

---

No. 2
Material: Dy2TeP
Method: DFT, PBE
State: optimized geometry

a b c (Å): 4.1111 4.1111 7.4374
angles (deg): 106.03 106.03 60.01
Fractional coordinates of all 4 atoms:
Dy: 0.7368 0.7368 0.2101
Dy: 0.2632 0.2632 0.7899
P: 0.0000 0.0000 0.0000
Te: 0.5000 0.5000 0.5000

Calculated values
The value obtained for the calculated volume is 25.80 Å³/atom. The total energy comes out at -5.994 eV per atom.

---

No. 3
Material: Dy3Te2P
Method: DFT, PBE
State: optimized geometry

a b c (Å): 4.1780 4.1780 10.7056
angles (deg): 90.00 90.00 120.00
Fractional coordinates of all 6 atoms:
Dy: 0.0000 0.0000 0.0000
Dy: 0.6667 0.3333 0.3669
Dy: 0.3333 0.6667 0.6331
P: 0.0000 0.0000 0.5000
Te: 0.3333 0.6667 0.1766
Te: 0.6667 0.3333 0.8234

Calculated values
The value obtained for the calculated volume is 26.97 Å³/atom. The total energy comes out at -5.704 eV per atom.

---

No. 4
Material: DyThP2
Method: DFT, PBE
State: optimized geometry

a b c (Å): 4.0855 4.0855 7.0220
angles (deg): 106.89 106.89 59.98
Fractional coordinates of all 4 atoms:
Dy: 0.0000 0.0000 0.0000
P: 0.7476 0.7476 0.2429
P: 0.2524 0.2524 0.7571
Th: 0.5000 0.5000 0.5000

Calculated values
The value obtained for the calculated volume is 23.90 Å³/atom. The total energy comes out at -7.299 eV per atom.

---

No. 5
Material: Dy2TmP3
Method: DFT, PBE
State: optimized geometry

a b c (Å): 3.9870 3.9870 9.7551
angles (deg): 90.00 90.00 120.00
Fractional coordinates of all 6 atoms:
Dy: 0.6667 0.3333 0.1680
Dy: 0.3333 0.6667 0.8320
P: 0.0000 0.0000 0.0000
P: 0.3333 0.6667 0.3364
P: 0.6667 0.3333 0.6636
Tm: 0.0000 0.0000 0.5000

Calculated values
The value obtained for the calculated volume is 22.38 Å³/atom. The total energy comes out at -6.596 eV per atom.

---

No. 6
Material: DyTm2P3
Method: DFT, PBE
State: optimized geometry

a b c (Å): 3.9673 3.9673 9.7076
angles (deg): 90.00 90.00 120.00
Fractional coordinates of all 6 atoms:
Dy: 0.0000 0.0000 0.5000
P: 0.0000 0.0000 0.0000
P: 0.3333 0.6667 0.3302
P: 0.6667 0.3333 0.6698
Tm: 0.6667 0.3333 0.1654
Tm: 0.3333 0.6667 0.8346

Calculated values
The value obtained for the calculated volume is 22.05 Å³/atom. The total energy comes out at -6.571 eV per atom.

---

Question: Which of these has the lowest calculated volume?
Answer: DyTc4P2

---

Question: Which of these has the lowest calculated volume?
Answer: DyTc4P2